1.
Compound: YZn2FeMo
Source: Alexandria via LeMat-Bulk
Functional: PBE
Structure: relaxed

The space group is P4/mmm (No. 123) and the conventional cell measures 5.143, 5.143 and 4.790 Å, with angles of 90.00, 90.00 and 90.00 degrees. Symmetry generates all atoms from Y at (0.000, 0.000, 0.000), Zn at (0.000, 0.500, 0.000), Fe at (0.500, 0.500, 0.500) and Mo at (0.000, 0.000, 0.500).

Its energy of formation from the pure elements is 215 kJ/mol of atoms. As for the total DFT energy (no corrections): -17.2 eV/cell. For the energy relative to the lowest polymorph listed for this composition, the calculation gives 774 meV/atom. Its density of states at the Fermi level is 1.526 states/eV/atom.

=====

2.
Compound: BaZrRh2
Source: Alexandria via LeMat-Bulk
Functional: PBE
Structure: relaxed

The space group is Imm2 (No. 44) and the conventional cell measures 3.468, 3.916 and 14.641 Å, with angles of 90.00, 90.00 and 90.00 degrees. Symmetry generates all atoms from Ba at (0.000, 0.000, 0.000), Zr at (0.000, 0.500, 0.245), Rh at (0.000, 0.000, 0.363) and Rh at (0.000, 0.500, 0.699).

Its energy of formation from the pure elements is -19 kJ/mol of atoms. As for the total DFT energy (no corrections): -51.9 eV/cell. Its density of states at the Fermi level is 0.590 states/eV/atom.

=====

3.
Compound: IrPt2Rh4
Source: Alexandria via LeMat-Bulk
Functional: PBE
Structure: relaxed

The space group is I-42d (No. 122) and the conventional cell measures 7.655, 7.655 and 7.588 Å, with angles of 90.00, 90.00 and 90.00 degrees. Symmetry generates all atoms from Ir at (0.000, 0.000, 0.000), Pt at (0.117, 0.750, 0.625) and Rh at (0.083, 0.670, 0.970).

Its energy of formation from the pure elements is 32 kJ/mol of atoms. As for the total DFT energy (no corrections): -192.2 eV/cell. For the energy relative to the lowest polymorph listed for this composition, the calculation gives 130 meV/atom. Its density of states at the Fermi level is 1.633 states/eV/atom.

=====

4.
Compound: FeRe3Rh
Source: Alexandria via LeMat-Bulk
Functional: PBE
Structure: relaxed

The space group is Pm-3m (No. 221) and the conventional cell measures 4.364, 4.364 and 4.364 Å, with angles of 90.00, 90.00 and 90.00 degrees. Symmetry generates all atoms from Fe at (0.000, 0.000, 0.000), Re at (0.000, 0.000, 0.500) and Rh at (0.500, 0.500, 0.500).

Its energy of formation from the pure elements is 145 kJ/mol of atoms. As for the total DFT energy (no corrections): -45.6 eV/cell. For the energy relative to the lowest polymorph listed for this composition, the calculation gives 0 meV/atom. Its density of states at the Fermi level is 1.813 states/eV/atom.

=====

5.
Compound: Rb3Pr2UTe6
Source: Alexandria via LeMat-Bulk
Functional: PBE
Structure: relaxed

The space group is C2/m (No. 12) and the conventional cell measures 8.053, 13.946 and 8.998 Å, with angles of 90.00, 107.36 and 90.00 degrees. Symmetry generates all atoms from Rb at (0.000, 0.000, 0.000), Rb at (0.000, 0.331, 0.000), Pr at (0.000, 0.166, 0.500), U at (0.000, 0.500, 0.500), Te at (0.232, 0.336, 0.705) and Te at (0.241, 0.000, 0.706).

As for the raw formation energy: -1212 meV/atom. As for the total DFT energy (no corrections): -114.3 eV/cell. Its density of states at the Fermi level is 0.826 states/eV/atom.

=====

6.
Compound: KSrRu4
Source: Alexandria via LeMat-Bulk
Functional: PBE
Structure: relaxed

The space group is F-43m (No. 216) and the conventional cell measures 7.770, 7.770 and 7.770 Å, with angles of 90.00, 90.00 and 90.00 degrees. Symmetry generates all atoms from K at (0.000, 0.000, 0.000), Sr at (0.250, 0.250, 0.250) and Ru at (0.125, 0.125, 0.625).

Its energy of formation from the pure elements is 72 kJ/mol of atoms. As for the total DFT energy (no corrections): -141.6 eV/cell. Its density of states at the Fermi level is 1.235 states/eV/atom.

=====

7.
Compound: AlInRh2
Source: Alexandria via LeMat-Bulk
Functional: PBE
Structure: relaxed

The space group is Cm (No. 8) and the conventional cell measures 9.652, 3.025 and 4.486 Å, with angles of 90.00, 105.37 and 90.00 degrees. Symmetry generates all atoms from Al at (0.000, 0.000, 0.000), In at (0.265, 0.500, 0.390), Rh at (0.010, 0.500, 0.515) and Rh at (0.271, 0.000, 0.898).

Its energy of formation from the pure elements is -51 kJ/mol of atoms. As for the total DFT energy (no corrections): -46.6 eV/cell. Its density of states at the Fermi level is 0.620 states/eV/atom.

=====

8.
Compound: KSr2NbO5
Source: Alexandria via LeMat-Bulk
Functional: PBE
Structure: relaxed

The space group is Immm (No. 71) and the conventional cell measures 4.064, 6.253 and 11.624 Å, with angles of 90.00, 90.00 and 90.00 degrees. Symmetry generates all atoms from K at (0.000, 0.000, 0.000), Sr at (0.000, 0.500, 0.222), Nb at (0.000, 0.000, 0.500), O at (0.000, 0.219, 0.371) and O at (0.000, 0.500, 0.000).

As for the raw formation energy: -2620 meV/atom. As for the total DFT energy (no corrections): -125.8 eV/cell. Its density of states at the Fermi level is 0.000 states/eV/atom.

=====

9.
Compound: PrDyCuPd
Source: Alexandria via LeMat-Bulk
Functional: PBE
Structure: relaxed

The space group is Amm2 (No. 38) and the conventional cell measures 4.561, 3.822 and 10.802 Å, with angles of 90.00, 90.00 and 90.00 degrees. Symmetry generates all atoms from Pr at (0.000, 0.000, 0.000), Dy at (0.500, 0.000, 0.277), Cu at (0.500, 0.000, 0.566) and Pd at (0.000, 0.000, 0.720).

Its energy of formation from the pure elements is -51 kJ/mol of atoms. As for the total DFT energy (no corrections): -41.5 eV/cell. For the energy relative to the lowest polymorph listed for this composition, the calculation gives 0 meV/atom. Its density of states at the Fermi level is 0.782 states/eV/atom.

=====

10.
Compound: Li2PbO
Source: Alexandria via LeMat-Bulk
Functional: PBE
Structure: relaxed

The space group is I-42d (No. 122) and the conventional cell measures 5.816, 5.816 and 8.228 Å, with angles of 90.00, 90.00 and 90.00 degrees. Symmetry generates all atoms from Li at (0.002, 0.250, 0.125), Pb at (0.000, 0.000, 0.500) and O at (0.000, 0.000, 0.000).

As for the raw formation energy: -1021 meV/atom. As for the total DFT energy (no corrections): -66.3 eV/cell. For the energy relative to the lowest polymorph listed for this composition, the calculation gives 0 meV/atom. Its density of states at the Fermi level is 0.111 states/eV/atom.

=====

11.
Compound: InIrO2
Source: Alexandria via LeMat-Bulk
Functional: PBE
Structure: relaxed

The space group is R-3m (No. 166, hexagonal axes) and the conventional cell measures 3.1095, 3.1095 and 19.2208 Å, with angles of 90.00, 90.00 and 120.00 degrees. Symmetry generates all atoms from In at (0.0000, 0.0000, 0.0000), Ir at (0.0000, 0.0000, 0.5000) and O at (0.0000, 0.0000, 0.3945).

As for the raw formation energy: -630 meV/atom. As for the total DFT energy (no corrections): -72.1 eV/cell. Its density of states at the Fermi level is 0.522 states/eV/atom.

=====

12.
Compound: PmSmHoZn
Source: Alexandria via LeMat-Bulk
Functional: PBE
Structure: relaxed

The space group is F-43m (No. 216) and the conventional cell measures 7.643, 7.643 and 7.643 Å, with angles of 90.00, 90.00 and 90.00 degrees. Symmetry generates all atoms from Pm at (0.000, 0.000, 0.000), Sm at (0.000, 0.000, 0.500), Ho at (0.250, 0.250, 0.250) and Zn at (0.250, 0.250, 0.750).

Its energy of formation from the pure elements is 3 kJ/mol of atoms. As for the total DFT energy (no corrections): -60.8 eV/cell. For the energy relative to the lowest polymorph listed for this composition, the calculation gives 187 meV/atom. Its density of states at the Fermi level is 1.267 states/eV/atom.